--- w ---
HoTmPd2: optimized geometry, PBE.

a b c (Å): 4.453 5.629 6.842
angles (deg): 90.00 90.00 90.00
Fractional coordinates of all 8 atoms:
Ho 0.000 0.891 0.819
Tm 0.500 0.608 0.182
Tm 0.500 0.392 0.682
Ho 0.000 0.109 0.319
Pd 0.000 0.407 0.958
Pd 0.000 0.593 0.458
Pd 0.500 0.904 0.541
Pd 0.500 0.096 0.041

Computed properties:
Theoretical density: 10.59 Mg/m³

--- x ---
HoTmPd2: optimized geometry, PBE.

a b c (Å): 5.536 4.554 6.858
angles (deg): 90.00 90.47 90.00
Fractional coordinates of all 8 atoms:
Pd 0.157 0.250 0.961
Tm 0.357 0.750 0.182
Ho 0.855 0.250 0.317
Pd 0.345 0.250 0.456
Tm 0.643 0.250 0.818
Pd 0.655 0.750 0.544
Ho 0.145 0.750 0.683
Pd 0.843 0.750 0.039

Computed properties:
Theoretical density: 10.50 Mg/m³

Which one sits at the top of the stability order? x does.

--- w ---
YHoPd: optimized geometry, PBE.

a b c (Å): 4.865 4.865 4.865
angles (deg): 60.00 60.00 60.00
Fractional coordinates of all 3 atoms:
Ho 0.250 0.250 0.250
Pd 0.000 0.000 0.000
Y 0.750 0.750 0.750

Computed properties:
Theoretical density: 7.35 Mg/m³

--- x ---
YHoPd: optimized geometry, PBE.

a b c (Å): 7.040 4.881 8.790
angles (deg): 90.00 90.00 90.00
Fractional coordinates of all 12 atoms:
Y 0.645 0.250 0.582
Ho 0.985 0.750 0.671
Ho 0.485 0.750 0.829
Pd 0.266 0.750 0.093
Ho 0.015 0.250 0.329
Ho 0.515 0.250 0.171
Pd 0.234 0.250 0.593
Pd 0.766 0.750 0.407
Y 0.145 0.250 0.918
Pd 0.734 0.250 0.907
Y 0.355 0.750 0.418
Y 0.855 0.750 0.082

Computed properties:
Theoretical density: 7.92 Mg/m³

Which one sits at the top of the stability order? x does.

--- w ---
PrHo: optimized geometry, PBE.

a b c (Å): 4.601 4.601 4.601
angles (deg): 60.00 60.00 60.00
Fractional coordinates of all 2 atoms:
Pr 0.500 0.500 0.500
Ho 0.000 0.000 0.000

Computed properties:
Theoretical density: 7.38 Mg/m³

--- x ---
PrHo: optimized geometry, PBE.

a b c (Å): 5.028 5.028 5.028
angles (deg): 60.00 60.00 60.00
Fractional coordinates of all 2 atoms:
Ho 0.000 0.000 0.000
Pr 0.250 0.250 0.250

Computed properties:
Theoretical density: 5.65 Mg/m³

Which one sits at the top of the stability order? w does.

--- w ---
PrHo2: optimized geometry, PBE.

a b c (Å): 8.977 8.977 8.977
angles (deg): 60.00 60.00 60.00
Fractional coordinates of all 6 atoms:
Pr 0.250 0.250 0.250
Ho 0.375 0.875 0.375
Pr 0.500 0.500 0.500
Ho 0.375 0.375 0.375
Ho 0.875 0.375 0.375
Ho 0.375 0.375 0.875

Computed properties:
Theoretical density: 3.06 Mg/m³

--- x ---
PrHo2: optimized geometry, PBE.

a b c (Å): 6.629 6.629 6.629
angles (deg): 60.00 60.00 60.00
Fractional coordinates of all 6 atoms:
Ho 0.625 0.125 0.625
Ho 0.125 0.625 0.625
Ho 0.625 0.625 0.625
Pr 0.000 0.000 0.000
Pr 0.250 0.250 0.250
Ho 0.625 0.625 0.125

Computed properties:
Theoretical density: 7.59 Mg/m³

Which one sits at the top of the stability order? x does.